! TaTi5Al2 (PBE, optimized geometry); values from VASP
! M_tot in μB/cell: 0.000
! Volume in A^3/atom: 16.68
! Space group: Pbam (55)
! Energy of formation in eV per formula unit: -1.90
&SYSTEM
  ibrav = 0, nat = 16, ntyp = 3
/
ATOMIC_SPECIES
Ta 180.95 Ta.upf
Ti 47.87 Ti.upf
Al 26.98 Al.upf
ATOMIC_POSITIONS crystal
Ta 0.0000 0.0000 0.0000
Ta 0.5000 0.5000 0.0000
Ti 0.0000 0.5000 0.0000
Ti 0.0076 0.2506 0.0000
Ti 0.2439 0.8744 0.5000
Ti 0.2561 0.3744 0.5000
Ti 0.4924 0.7506 0.0000
Ti 0.5000 0.0000 0.0000
Ti 0.5076 0.2494 0.0000
Ti 0.7439 0.6256 0.5000
Ti 0.7561 0.1256 0.5000
Ti 0.9924 0.7494 0.0000
Al 0.2443 0.6252 0.5000
Al 0.2557 0.1252 0.5000
Al 0.7443 0.8748 0.5000
Al 0.7557 0.3748 0.5000
CELL_PARAMETERS angstrom
5.7354 0.0000 0.0000
0.0000 11.4681 0.0000
0.0000 0.0000 4.0582



! Zr2AgW (PBE, optimized geometry); values from VASP
! M_tot in μB/cell: 0.000
! Volume in A^3/atom: 19.21
! Space group: F-43m (216)
! ΔE to the lowest computed polymorph in kJ per mole of atoms: 37.2
! Energy of formation in eV per formula unit: 1.55
&SYSTEM
  ibrav = 0, nat = 4, ntyp = 3
/
ATOMIC_SPECIES
Zr 91.22 Zr.upf
Ag 107.87 Ag.upf
W 183.84 W.upf
ATOMIC_POSITIONS crystal
Zr 0.0000 0.0000 0.0000
Zr 0.2500 0.2500 0.2500
Ag 0.5000 0.5000 0.5000
W 0.7500 0.7500 0.7500
CELL_PARAMETERS angstrom
0.0000 3.3745 3.3745
3.3745 0.0000 3.3745
3.3745 3.3745 0.0000



! K2Cu2AgCl7 (PBE, optimized geometry); values from VASP
! M_tot in μB/cell: 0.000
! Volume in A^3/atom: 24.12
! Space group: C2/m (12)
! Uncorrected formation energy in kJ/mol of atoms: -87
&SYSTEM
  ibrav = 0, nat = 12, ntyp = 4
/
ATOMIC_SPECIES
K 39.10 K.upf
Cu 63.55 Cu.upf
Ag 107.87 Ag.upf
Cl 35.45 Cl.upf
ATOMIC_POSITIONS crystal
K 0.1770 0.1770 0.3552
K 0.8230 0.8230 0.6448
Cu 0.4054 0.4054 0.8090
Cu 0.5946 0.5946 0.1910
Ag 0.0000 0.0000 0.0000
Cl 0.0871 0.5869 0.1754
Cl 0.3083 0.3083 0.6154
Cl 0.4131 0.9129 0.8246
Cl 0.5000 0.5000 0.0000
Cl 0.5869 0.0871 0.1754
Cl 0.6917 0.6917 0.3846
Cl 0.9129 0.4131 0.8246
CELL_PARAMETERS angstrom
3.4382 -3.4386 0.0000
3.4382 3.4386 0.0000
-3.4352 0.0000 12.2401



! TaTeRhN2 (PBE, optimized geometry); values from VASP
! M_tot in μB/cell: 0.222
! Volume in A^3/atom: 18.57
! Space group: P4/mmm (123)
! ΔE to the lowest computed polymorph in kJ per mole of atoms: 0.0
! Uncorrected formation energy in kJ/mol of atoms: 49
&SYSTEM
  ibrav = 0, nat = 5, ntyp = 4
/
ATOMIC_SPECIES
Ta 180.95 Ta.upf
Te 127.60 Te.upf
Rh 102.91 Rh.upf
N 14.01 N.upf
ATOMIC_POSITIONS crystal
Ta 0.0000 0.0000 0.0000
Te 0.0000 0.0000 0.5000
Rh 0.5000 0.5000 0.5000
N 0.0000 0.5000 0.0000
N 0.5000 0.0000 0.0000
CELL_PARAMETERS angstrom
3.9658 0.0000 0.0000
0.0000 3.9658 0.0000
0.0000 0.0000 5.9032



Q: What is the M_tot in the fourth record?
A: 0.222 μB/cell



Q: What is the volume in the fourth record?
A: 18.57 A^3/atom



Q: Number 3 is which compound?
A: K2Cu2AgCl7